No. 1
The following is a PBE-GGA calculation of crystalline Tb12PmSm5 at its relaxed geometry, from Alexandria.

The formation enthalpy at 0 K comes out at 0.106 eV/atom. Its total energy is -0.167 Ha/atom.

The space group is C2/m (No. 12) and the conventional cell measures 11.351, 17.410 and 5.989 Å, with angles of 90.00, 90.00 and 90.00 degrees. The distinct sites, in fractional coordinates, are Tb at (0.176, 0.000, 0.448), Tb at (0.177, 0.167, 0.053), Tb at (0.177, 0.333, 0.447), Tb at (0.177, 0.500, 0.052), Pm at (0.000, 0.500, 0.500), Sm at (0.000, 0.000, 0.000), Sm at (0.000, 0.167, 0.500) and Sm at (0.000, 0.333, 0.000).

---

No. 2
The following is a PBE-GGA calculation of crystalline CrFeSCl2 at its relaxed geometry, from Alexandria.

The uncorrected formation energy is 0.84 eV/f.u. Its total energy is -0.184 Ha/atom. The calculation puts the energy above the most stable polymorph in this dataset at 74 meV per atom.

The space group is P4/mmm (No. 123) and the conventional cell measures 4.761, 4.761 and 4.251 Å, with angles of 90.00, 90.00 and 90.00 degrees. The distinct sites, in fractional coordinates, are Cr at (0.000, 0.000, 0.000), Fe at (0.500, 0.500, 0.500), S at (0.500, 0.500, 0.000) and Cl at (0.000, 0.500, 0.500).